# TlIr2Br PBE optimized geometry
data_TlIr2Br
_space_group_name_H-M_alt 'C m m 2'
_space_group_IT_number 35
_cell_length_a 4.213
_cell_length_b 4.439
_cell_length_c 9.327
_cell_angle_alpha 90.00
_cell_angle_beta 90.00
_cell_angle_gamma 90.00
loop_
_space_group_symop_operation_xyz
'x,y,z'
'-x,-y,z'
'-x,y,z'
'x,-y,z'
'x+1/2,y+1/2,z'
'-x+1/2,-y+1/2,z'
'-x+1/2,y+1/2,z'
'x+1/2,-y+1/2,z'
loop_
_atom_site_label
_atom_site_fract_x
_atom_site_fract_y
_atom_site_fract_z
Tl1 0.000 0.000 0.000
Ir1 0.000 0.000 0.578
Ir2 0.000 0.500 0.734
Br1 0.000 0.500 0.368
# - excess energy over the best structure of this formula in the dataset (eV/atom) = 0.171
# - N(E_F) (states/eV/cell) = 7.97
# - total DFT energy (no corrections) (eV per cell) = -38.93
# - energy relative to the elements, uncorrected (meV/atom) = 574
# - M_tot (μB per formula unit) = 0.000